Entry from Alexandria via LeMat-Bulk: crystalline BaNaN at its relaxed geometry (PBE).

The structure in POSCAR format:
```
BaNaN
1.0
4.333 0.000 0.000
0.000 6.512 0.000
0.000 0.000 9.874
Ba Na N
4 4 4
Cartesian
1.083 3.052 6.451
1.083 0.204 1.514
3.250 3.460 3.423
3.250 6.308 8.360
1.083 6.059 5.553
1.083 3.708 0.616
3.250 0.452 4.321
3.250 2.803 9.259
1.083 1.570 8.871
1.083 1.686 3.934
3.250 4.942 1.003
3.250 4.826 5.941
```

Output
As for the raw formation energy: -70.1 meV/atom. The calculation puts the density of states at the Fermi level at 0.5 states/eV/f.u. For the magnetization, the calculation gives 0.000 μB/atom. As for the space group: Pnma. As for the electronic total energy: -3.926 eV/atom.